No. 1
A PBEsol-optimized structure of Mg2MoW, computed with SCAN.

a b c (Å): 2.699 4.306 5.886
angles (deg): 90.00 90.00 90.00
Positions (direct):
1 Mg 0.000 0.000 0.000
2 Mg 0.500 0.500 0.249
3 Mo 0.000 0.000 0.523
4 W 0.500 0.500 0.729

Properties
- Calculated volume: 17.1 A^3/atom
- E: -28.175 eV per atom
- Space-group type: Pmm2 (25)
- Density of states at the Fermi level: 2.5 states/eV per cell
- Energy of formation from the pure elements: 0.4551 eV per atom

No. 2
A PBEsol-optimized structure of MgMoW2, computed with SCAN.

a b c (Å): 2.632 4.427 5.503
angles (deg): 90.00 90.00 90.00
Positions (direct):
1 Mg 0.000 0.000 0.501
2 Mo 0.500 0.500 0.748
3 W 0.000 0.000 0.002
4 W 0.500 0.500 0.249

Properties
- Calculated volume: 16.0 A^3/atom
- E: -44.357 eV per atom
- Space-group type: Pmm2 (25)
- Density of states at the Fermi level: 2.4 states/eV per cell
- Energy of formation from the pure elements: 0.4522 eV per atom